Here is a relaxed structure of AcGe2BiPt5 from Alexandria. Energies are from GGA-PBE.

The calculation puts the raw total energy at -5.790 eV per atom. The total magnetization comes out at 0.0000 μB/atom. Its space group is P4/mmm, No. 123.

Cell and atoms, written as POSCAR:
```
AcGe2BiPt5
1.0
4.149 0.000 0.000
0.000 4.149 0.000
0.000 0.000 11.755
Ac Ge Bi Pt
1 2 1 5
Direct
0.000 0.000 0.000 Ac
0.500 0.500 0.208 Ge
0.500 0.500 0.792 Ge
0.000 0.000 0.500 Bi
0.000 0.500 0.322 Pt
0.000 0.500 0.678 Pt
0.500 0.000 0.322 Pt
0.500 0.000 0.678 Pt
0.500 0.500 0.000 Pt
```

Here is a relaxed structure of AcPuGeBi from Alexandria. Energies are from GGA-PBE.

The calculation puts the raw total energy at -7.084 eV per atom. The total magnetization comes out at 1.4753 μB/atom. Its space group is F-43m, No. 216.

Cell and atoms, written as POSCAR:
```
AcPuGeBi
1.0
7.840 0.000 0.000
0.000 7.840 0.000
0.000 0.000 7.840
Ac Pu Ge Bi
4 4 4 4
Direct
0.000 0.000 0.000 Ac
0.000 0.500 0.500 Ac
0.500 0.000 0.500 Ac
0.500 0.500 0.000 Ac
0.000 0.000 0.500 Pu
0.000 0.500 0.000 Pu
0.500 0.000 0.000 Pu
0.500 0.500 0.500 Pu
0.250 0.250 0.750 Ge
0.250 0.750 0.250 Ge
0.750 0.250 0.250 Ge
0.750 0.750 0.750 Ge
0.250 0.250 0.250 Bi
0.250 0.750 0.750 Bi
0.750 0.250 0.750 Bi
0.750 0.750 0.250 Bi
```

Here is a relaxed structure of Ac2GeBiRh6 from Alexandria. Energies are from GGA-PBE.

The calculation puts the raw total energy at -6.484 eV per atom. The total magnetization comes out at 0.0000 μB/atom. Its space group is P-1, No. 2.

Cell and atoms, written as POSCAR:
```
Ac2GeBiRh6
1.0
6.480 0.000 0.000
3.168 5.692 0.000
3.069 1.754 6.184
Ac Ge Bi Rh
2 1 1 6
Direct
0.243 0.243 0.273 Ac
0.757 0.757 0.727 Ac
0.000 0.000 0.000 Ge
0.500 0.500 0.500 Bi
0.240 0.656 0.856 Rh
0.243 0.242 0.838 Rh
0.339 0.762 0.148 Rh
0.661 0.238 0.852 Rh
0.757 0.758 0.162 Rh
0.760 0.344 0.144 Rh
```